A plane-wave DFT calculation with GGA-PBE was carried out for a relaxed structure of Na2SnAs.

Properties
The total moment comes out at 0.00 μB/cell. The formation energy comes out at -0.0573 eV per atom. For the polymorph energy (0 for the lowest one), the calculation gives 266 meV/atom.

abc: 4.398 4.398 21.158
angles: 90.00 90.00 90.00
Space group I-42d (No. 122)
Unique sites:
Na  0.233  0.250  0.125 (multiplicity 8)
Sn  0.000  0.000  0.500 (multiplicity 4)
As  0.000  0.000  0.000 (multiplicity 4)

A plane-wave DFT calculation with GGA-PBE was carried out for a relaxed structure of Na6Sn3As.

Properties
The total moment comes out at 0.00 μB/cell. The formation energy comes out at -0.1927 eV per atom.

abc: 9.266 6.314 13.360
angles: 90.00 132.52 90.00
Space group P2_1/c (No. 14)
Unique sites:
Na  0.098  0.106  0.428 (multiplicity 4)
Na  0.256  0.576  0.439 (multiplicity 4)
Na  0.379  0.746  0.236 (multiplicity 4)
Sn  0.243  0.235  0.246 (multiplicity 4)
Sn  0.500  0.000  0.500 (multiplicity 2)
As  0.000  0.000  0.000 (multiplicity 2)

A plane-wave DFT calculation with GGA-PBE was carried out for a relaxed structure of NaSnAs.

Properties
The total moment comes out at 0.00 μB/cell. The formation energy comes out at -0.2209 eV per atom.

abc: 6.974 4.822 9.312
angles: 90.00 90.00 90.00
Space group Pnma (No. 62)
Unique sites:
Na  0.017  0.250  0.184 (multiplicity 4)
Sn  0.174  0.250  0.580 (multiplicity 4)
As  0.228  0.750  0.395 (multiplicity 4)